(1)
{"formula": "Ti3ReRh", "functional": "PBE", "state": "optimized geometry", "crystal_system": "cubic", "spacegroup": "Pm-3m (221)", "polymorph_energy_kcal_per_mol_atoms": 0.00, "volume_a3_per_cell": 102, "magnetic_moment_mub_per_cell": 0.0, "lattice": [[4.678, 0.000, 0.000], [0.000, 4.678, 0.000], [0.000, 0.000, 4.678]], "species": ["Re", "Rh", "Ti", "Ti", "Ti"], "fractional_positions": [[0.000, 0.000, 0.000], [0.500, 0.500, 0.500], [0.000, 0.500, 0.000], [0.000, 0.000, 0.500], [0.500, 0.000, 0.000]]}

=====

(2)
{"formula": "LiBe2Cd", "functional": "PBE", "state": "optimized geometry", "crystal_system": "tetragonal", "spacegroup": "I4_1/amd (141)", "volume_a3_per_cell": 147, "magnetic_moment_mub_per_cell": 0.0, "lattice": [[4.113, 0.000, 0.000], [0.000, 4.113, 0.000], [2.056, 2.056, 8.708]], "species": ["Be", "Be", "Be", "Be", "Li", "Li", "Cd", "Cd"], "fractional_positions": [[0.875, 0.125, 0.250], [0.875, 0.625, 0.250], [0.375, 0.125, 0.750], [0.875, 0.125, 0.750], [0.500, 0.500, 0.000], [0.250, 0.750, 0.500], [0.000, 0.000, 0.000], [0.750, 0.250, 0.500]]}

=====

| no. | N(E_F) (states/eV/cell) | formation energy from the elements (eV/atom) |
| --- | --- | --- |
| 1 | 9.49 | 0.7440 |
| 2 | 2.27 | 0.5164 |